## PaGaHg (GGA-PBE)

Data for a relaxed PaGaHg crystal.

Computed properties:
For the formation energy, the calculation gives -0.068 eV per atom. As for the space group: Cmcm. As for the crystal system: orthorhombic.

Lattice parameters (Å, degrees): 3.9437 4.3163 8.5093 104.69 90.00 90.00
With the nearest neighbours (Å) after each atom.
Sites, in units of the cell vectors:
Ga 0.7500 0.4540 0.9079  2 Ga 2.49, 1 Hg 2.74
Ga 0.2500 0.5460 0.0921  2 Ga 2.49, 1 Hg 2.74
Pa 0.7500 0.0937 0.1875  6 Ga 3.03-3.15, 1 Hg 3.19
Pa 0.2500 0.9063 0.8125  6 Ga 3.03-3.15, 1 Hg 3.19
Hg 0.2500 0.7124 0.4247  1 Ga 2.74
Hg 0.7500 0.2876 0.5753  1 Ga 2.74